Entry 1:
Density functional theory data (PBE) for a geometry-optimized Mn3Tc structure.

Cell lengths 3.714, 3.714, 14.365 Å; angles 90.00, 90.00, 90.00 degrees
Space group I4/mmm (No. 139)
Inequivalent atoms, fractional coordinates:
Mn1 0.000 0.000 0.124
Mn2 0.000 0.500 0.000
Mn3 0.000 0.500 0.250
Tc1 0.000 0.000 0.374

The energy of formation from the pure elements comes out at 64 meV per atom. Its total magnetization is 0.292 μB/atom.


Entry 2:
Density functional theory data (PBE) for a geometry-optimized BaMg2Cl structure.

Cell lengths 3.907, 4.879, 7.248 Å; angles 90.00, 105.47, 90.00 degrees
Space group Pm (No. 6)
Inequivalent atoms, fractional coordinates:
Ba1 0.000 0.000 0.000
Mg1 0.264 0.500 0.535
Mg2 0.731 0.000 0.468
Cl1 0.486 0.500 0.972

Its total magnetization is 0.000 μB/atom. The energy relative to the elements, uncorrected comes out at -667 meV/atom.